Run i
# Pm6SmDy2

Crystalline Pm6SmDy2 at its relaxed geometry (PBE, the Alexandria database).

Geometry as CIF:
```
data_Pm6SmDy2
_cell_length_a 7.5918
_cell_length_b 7.5918
_cell_length_c 6.1646
_cell_angle_alpha 90.00
_cell_angle_beta 90.00
_cell_angle_gamma 60.00
_symmetry_space_group_name_H-M 'P 1'
_symmetry_Int_Tables_number 1
loop_
_symmetry_equiv_pos_as_xyz
'x,y,z'
loop_
_atom_site_label
_atom_site_type_symbol
_atom_site_fract_x
_atom_site_fract_y
_atom_site_fract_z
Pm1 Pm 0.1229 0.6878 0.7890
Pm2 Pm 0.3119 0.3119 0.2118
Pm3 Pm 0.3122 0.8771 0.2110
Pm4 Pm 0.6878 0.1229 0.7890
Pm5 Pm 0.6881 0.6881 0.7882
Pm6 Pm 0.8771 0.3122 0.2110
Sm1 Sm 0.5000 0.5000 0.5000
Dy1 Dy 0.1663 0.1663 0.7171
Dy2 Dy 0.8337 0.8337 0.2829
```

Run ii
# Pm6SmDy2

Crystalline Pm6SmDy2 at its relaxed geometry (PBE, the Alexandria database).

Geometry as CIF:
```
data_Pm6SmDy2
_cell_length_a 3.6288
_cell_length_b 8.8813
_cell_length_c 9.5798
_cell_angle_alpha 90.24
_cell_angle_beta 100.89
_cell_angle_gamma 90.12
_symmetry_space_group_name_H-M 'P 1'
_symmetry_Int_Tables_number 1
loop_
_symmetry_equiv_pos_as_xyz
'x,y,z'
loop_
_atom_site_label
_atom_site_type_symbol
_atom_site_fract_x
_atom_site_fract_y
_atom_site_fract_z
Pm1 Pm 0.1093 0.1651 0.2194
Pm2 Pm 0.2217 0.8342 0.4423
Pm3 Pm 0.3336 0.5007 0.6679
Pm4 Pm 0.6664 0.4993 0.3321
Pm5 Pm 0.7783 0.1658 0.5577
Pm6 Pm 0.8907 0.8349 0.7806
Sm1 Sm 0.0000 0.5000 0.0000
Dy1 Dy 0.4445 0.1669 0.8898
Dy2 Dy 0.5555 0.8331 0.1102
```

Most stable to least stable: run ii, run i

Run i
# Pm7Sm2Dy3

Crystalline Pm7Sm2Dy3 at its relaxed geometry (PBE, the Alexandria database).

Geometry as CIF:
```
data_Pm7Sm2Dy3
_cell_length_a 19.3950
_cell_length_b 19.3950
_cell_length_c 3.6465
_cell_angle_alpha 90.00
_cell_angle_beta 90.00
_cell_angle_gamma 162.78
_symmetry_space_group_name_H-M 'P 1'
_symmetry_Int_Tables_number 1
loop_
_symmetry_equiv_pos_as_xyz
'x,y,z'
loop_
_atom_site_label
_atom_site_type_symbol
_atom_site_fract_x
_atom_site_fract_y
_atom_site_fract_z
Pm1 Pm 0.0000 0.0000 0.0000
Pm2 Pm 0.0721 0.9279 0.5000
Pm3 Pm 0.2315 0.7685 0.0000
Pm4 Pm 0.4085 0.5915 0.0000
Pm5 Pm 0.5915 0.4085 0.0000
Pm6 Pm 0.7685 0.2315 0.0000
Pm7 Pm 0.9279 0.0721 0.5000
Sm1 Sm 0.1484 0.8516 0.0000
Sm2 Sm 0.8516 0.1484 0.0000
Dy1 Dy 0.3150 0.6850 0.5000
Dy2 Dy 0.5000 0.5000 0.5000
Dy3 Dy 0.6850 0.3150 0.5000
```

Run ii
# Pm7Sm2Dy3

Crystalline Pm7Sm2Dy3 at its relaxed geometry (PBE, the Alexandria database).

Geometry as CIF:
```
data_Pm7Sm2Dy3
_cell_length_a 6.4564
_cell_length_b 3.5690
_cell_length_c 17.6656
_cell_angle_alpha 90.00
_cell_angle_beta 96.00
_cell_angle_gamma 90.00
_symmetry_space_group_name_H-M 'P 1'
_symmetry_Int_Tables_number 1
loop_
_symmetry_equiv_pos_as_xyz
'x,y,z'
loop_
_atom_site_label
_atom_site_type_symbol
_atom_site_fract_x
_atom_site_fract_y
_atom_site_fract_z
Pm1 Pm 0.0000 0.0000 0.0000
Pm2 Pm 0.2260 0.5000 0.1697
Pm3 Pm 0.2573 0.5000 0.4964
Pm4 Pm 0.2762 0.0000 0.8344
Pm5 Pm 0.7238 0.0000 0.1656
Pm6 Pm 0.7427 0.5000 0.5036
Pm7 Pm 0.7740 0.5000 0.8303
Sm1 Sm 0.0584 0.5000 0.6706
Sm2 Sm 0.9416 0.5000 0.3294
Dy1 Dy 0.4540 0.0000 0.3408
Dy2 Dy 0.5000 0.5000 0.0000
Dy3 Dy 0.5460 0.0000 0.6592
```

Most stable to least stable: run ii, run i

Run i
# Pm3Sm4Dy2

Crystalline Pm3Sm4Dy2 at its relaxed geometry (PBE, the Alexandria database).

Geometry as CIF:
```
data_Pm3Sm4Dy2
_cell_length_a 8.0798
_cell_length_b 8.0798
_cell_length_c 8.0827
_cell_angle_alpha 107.35
_cell_angle_beta 107.35
_cell_angle_gamma 36.93
_symmetry_space_group_name_H-M 'P 1'
_symmetry_Int_Tables_number 1
loop_
_symmetry_equiv_pos_as_xyz
'x,y,z'
loop_
_atom_site_label
_atom_site_type_symbol
_atom_site_fract_x
_atom_site_fract_y
_atom_site_fract_z
Pm1 Pm 0.0000 0.0000 0.0000
Pm2 Pm 0.1107 0.1107 0.6660
Pm3 Pm 0.8893 0.8893 0.3340
Sm1 Sm 0.2222 0.2222 0.3338
Sm2 Sm 0.3337 0.3337 0.9992
Sm3 Sm 0.6663 0.6663 0.0008
Sm4 Sm 0.7778 0.7778 0.6662
Dy1 Dy 0.4444 0.4444 0.6656
Dy2 Dy 0.5556 0.5556 0.3344
```

Run ii
# Pm3Sm4Dy2

Crystalline Pm3Sm4Dy2 at its relaxed geometry (PBE, the Alexandria database).

Geometry as CIF:
```
data_Pm3Sm4Dy2
_cell_length_a 3.6254
_cell_length_b 3.6254
_cell_length_c 26.8517
_cell_angle_alpha 90.00
_cell_angle_beta 90.00
_cell_angle_gamma 120.00
_symmetry_space_group_name_H-M 'P 1'
_symmetry_Int_Tables_number 1
loop_
_symmetry_equiv_pos_as_xyz
'x,y,z'
loop_
_atom_site_label
_atom_site_type_symbol
_atom_site_fract_x
_atom_site_fract_y
_atom_site_fract_z
Pm1 Pm 0.0000 0.0000 0.0000
Pm2 Pm 0.0000 0.0000 0.3390
Pm3 Pm 0.6667 0.3333 0.6722
Sm1 Sm 0.0000 0.0000 0.5609
Sm2 Sm 0.0000 0.0000 0.7836
Sm3 Sm 0.6667 0.3333 0.2319
Sm4 Sm 0.6667 0.3333 0.4523
Dy1 Dy 0.6667 0.3333 0.1053
Dy2 Dy 0.6667 0.3333 0.8898
```

Most stable to least stable: run i, run ii